(1)
Hg3SbC: optimized geometry, PBE.

Structure (POSCAR):
```
Hg3SbC
1.0
5.728 0.000 0.000
0.000 5.728 0.000
0.000 0.000 5.728
Hg Sb C
3 1 1
direct
0.000 0.000 0.500
0.000 0.500 0.000
0.500 0.000 0.000
0.000 0.000 0.000
0.500 0.500 0.500
```

- Calculated volume: 37.6 Å³ per atom
- Crystal system: cubic
- DOS(E_F): 1.9 states/eV/f.u.
- Uncorrected formation energy: 1501 meV/atom
- Raw total energy: -1.349 eV/atom

***

(2)
Er5PS5: optimized geometry, PBE.

Structure (POSCAR):
```
Er5PS5
1.0
6.147 -2.744 0.000
6.147 2.744 0.000
-2.460 0.000 7.368
Er P S
5 1 5
direct
0.000 0.000 0.000
0.336 0.336 0.666
0.340 0.340 0.173
0.660 0.660 0.827
0.664 0.664 0.334
0.500 0.500 0.000
0.169 0.169 0.333
0.171 0.171 0.839
0.500 0.500 0.500
0.829 0.829 0.161
0.831 0.831 0.667
```

- Calculated volume: 22.6 Å³ per atom
- Crystal system: monoclinic
- DOS(E_F): 3.1 states/eV/f.u.
- Uncorrected formation energy: -2006 meV/atom
- Raw total energy: -6.448 eV/atom

***

(3)
Rb8H4Cl3: optimized geometry, PBE.

Structure (POSCAR):
```
Rb8H4Cl3
1.0
6.455 -6.448 0.000
6.455 6.448 0.000
-6.426 0.000 6.467
Rb H Cl
8 4 3
direct
0.233 0.233 0.480
0.238 0.238 0.989
0.242 0.758 0.000
0.242 0.758 0.500
0.758 0.242 0.000
0.758 0.242 0.500
0.762 0.762 0.011
0.767 0.767 0.520
0.000 0.000 0.000
0.000 0.000 0.500
0.000 0.500 0.000
0.500 0.000 0.000
0.000 0.500 0.500
0.500 0.000 0.500
0.500 0.500 0.500
```

- Calculated volume: 35.9 Å³ per atom
- Crystal system: monoclinic
- DOS(E_F): 1.0 states/eV/f.u.
- Raw total energy: -2.599 eV/atom

***

(4)
Dy2TmSc2: optimized geometry, PBE.

Structure (POSCAR):
```
Dy2TmSc2
1.0
7.947 -2.840 0.000
7.947 2.840 0.000
-1.692 0.000 6.332
Dy Tm Sc
4 2 4
direct
0.159 0.236 0.082
0.236 0.159 0.582
0.764 0.841 0.418
0.841 0.764 0.918
0.074 0.926 0.750
0.926 0.074 0.250
0.342 0.477 0.334
0.477 0.342 0.834
0.523 0.658 0.166
0.658 0.523 0.666
```

- Calculated formation energy: 0.096 eV per atom
- Calculated volume: 28.6 Å³ per atom
- Crystal system: monoclinic
- DOS(E_F): 10.1 states/eV/f.u.
- Raw total energy: -5.172 eV/atom